[1]
First-principles (PBE) data for a relaxed structure of CaLaPm6, as listed in the Alexandria database.

Results
Its crystal system is tetragonal. The energy comes out at -35.0 eV/f.u. The magnetization is 0.0 μB/f.u. The energy of formation comes out at 53 meV per atom. As for the space group: P4/mmm, No. 123. For the density, the calculation gives 6.15 Mg/m³.

Cell lengths 5.2242, 5.2242, 10.3717 Å; angles 90.00, 90.00, 90.00 degrees
With the nearest neighbours (Å) after each atom.
Element x y z (fractional)
1 Ca 0.0000 0.0000 0.0000  12 Pm 3.69-3.72
2 La 0.0000 0.0000 0.5000  12 Pm 3.64-3.69
3 Pm 0.5000 0.5000 0.0000  4 Ca 3.69, 8 Pm 3.72
4 Pm 0.5000 0.5000 0.5000  8 Pm 3.64, 4 La 3.69
5 Pm 0.5000 0.0000 0.2550  8 Pm 3.64-3.72, 2 La 3.64, 2 Ca 3.72
6 Pm 0.5000 0.0000 0.7450  2 La 3.64, 8 Pm 3.64-3.72, 2 Ca 3.72
7 Pm 0.0000 0.5000 0.2550  8 Pm 3.64-3.72, 2 La 3.64, 2 Ca 3.72
8 Pm 0.0000 0.5000 0.7450  2 La 3.64, 8 Pm 3.64-3.72, 2 Ca 3.72

---

[2]
First-principles (PBE) data for a relaxed structure of AsPRhAu2, as listed in the Alexandria database.

Results
Its crystal system is trigonal. The energy comes out at -24.5 eV/f.u. The magnetization is 0.0 μB/f.u. The energy of formation comes out at -116 meV per atom. As for the space group: R3m, No. 160. For the density, the calculation gives 11.33 Mg/m³.

Cell lengths 3.1581, 3.1581, 30.6863 Å; angles 90.00, 90.00, 120.00 degrees
With the nearest neighbours (Å) after each atom.
Element x y z (fractional)
1 As 0.0000 0.0000 0.1214  3 Au 2.79, 3 Rh 2.81
2 As 0.3333 0.6667 0.7880  3 Au 2.79, 3 Rh 2.81
3 As 0.6667 0.3333 0.4547  3 Au 2.79, 3 Rh 2.81
4 P 0.0000 0.0000 0.6740  3 Rh 2.28, 1 Au 2.37
5 P 0.3333 0.6667 0.3407  3 Rh 2.28, 1 Au 2.37
6 P 0.6667 0.3333 0.0073  3 Rh 2.28, 1 Au 2.37
7 Rh 0.0000 0.0000 0.3852  3 P 2.28
8 Rh 0.3333 0.6667 0.0519  3 P 2.28
9 Rh 0.6667 0.3333 0.7185  3 P 2.28
10 Au 0.0000 0.0000 0.8568  3 As 2.79, 3 Au 2.90
11 Au 0.3333 0.6667 0.5234  3 As 2.79, 3 Au 2.90
12 Au 0.6667 0.3333 0.1901  3 As 2.79, 3 Au 2.90
13 Au 0.0000 0.0000 0.5967  1 P 2.37
14 Au 0.3333 0.6667 0.2634  1 P 2.37
15 Au 0.6667 0.3333 0.9301  1 P 2.37

---

[3]
First-principles (PBE) data for a relaxed structure of PdRhI2O, as listed in the Alexandria database.

Results
The value obtained for the formation energy (no corrections) is 0.508 eV per atom. Its crystal system is tetragonal. The energy comes out at -18.1 eV/f.u. The magnetization is 3.0 μB/f.u. As for the space group: P4/mmm, No. 123. For the density, the calculation gives 6.77 Mg/m³.

Cell lengths 5.5425, 5.5425, 3.8257 Å; angles 90.00, 90.00, 90.00 degrees
With the nearest neighbours (Å) after each atom.
Element x y z (fractional)
1 I 0.0000 0.5000 0.0000  2 Pd 2.77
2 I 0.5000 0.0000 0.0000  2 Pd 2.77
3 Rh 0.5000 0.5000 0.5000  8 I 3.37
4 O 0.0000 0.0000 0.5000  2 Pd 1.91
5 Pd 0.0000 0.0000 0.0000  2 O 1.91

---

[4]
First-principles (PBE) data for a relaxed structure of PbBr2, as listed in the Alexandria database.

Results
The value obtained for the formation energy (no corrections) is -0.883 eV per atom. Its crystal system is monoclinic. The energy comes out at -9.7 eV/f.u. The magnetization is 0.0 μB/f.u. As for the space group: Cm, No. 8. For the density, the calculation gives 5.58 Mg/m³.

Cell lengths 7.3616, 7.3616, 7.6869 Å; angles 74.99, 74.99, 32.99 degrees
With the nearest neighbours (Å) after each atom.
Element x y z (fractional)
1 Br 0.0997 0.0997 0.0710  3 Pb 3.03-3.11
2 Br 0.6225 0.6225 0.4850  3 Pb 3.03-3.11
3 Br 0.3614 0.3614 0.2773  4 Pb 3.18
4 Br 0.3609 0.3609 0.7776  4 Pb 3.23
5 Pb 0.9702 0.9702 0.4683  7 Br 3.03-3.23
6 Pb 0.7520 0.7520 0.0875  7 Br 3.03-3.23